## ZnCd8Hg5 (GGA-PBE)

Data for crystalline ZnCd8Hg5 at its relaxed geometry.

a b c (Å): 7.5757 7.5757 7.5757
angles (deg): 109.41 109.41 109.58
Atoms (fractional coordinates):
Cd (0.1572, 0.5767, 0.7526)
Cd (0.2613, 0.3653, 0.2546)
Hg (0.7304, 0.5806, 0.6205)
Cd (0.6347, 0.8893, 0.8961)
Cd (0.4233, 0.1758, 0.5805)
Hg (0.8901, 0.2696, 0.8502)
Cd (0.5953, 0.8428, 0.4195)
Hg (0.4194, 0.0399, 0.1498)
Cd (0.1107, 0.0068, 0.7454)
Hg (0.9601, 0.1099, 0.3795)
Cd (0.9932, 0.7387, 0.1039)
Hg (0.5000, 0.5000, 0.0000)
Zn (0.2500, 0.7500, 0.5000)
Cd (0.8242, 0.4047, 0.2474)

Total magnetization: 0.000 μB/atom
Density: 9.76 g/cm³
Formation energy from the elements: 0.034 eV per atom